Record 1
Rb2Mg after structural relaxation. Source: Alexandria via LeMat-Bulk, functional PBE-GGA.

abc: 6.8354 6.8354 4.3489
angles: 90.00 90.00 90.00
Closest atoms and distances in Å follow each position.
Fractional positions:
1 Rb 0.0000 0.5000 0.0000  4 Mg 4.05, 2 Rb 4.35
2 Rb 0.5000 0.0000 0.0000  4 Mg 4.05, 2 Rb 4.35
3 Mg 0.0000 0.0000 0.5000  8 Rb 4.05, 2 Mg 4.35

Calculated values
Polymorph energy (0 for the lowest one)   76 meV/atom
DFT formation energy   235 meV per atom
Density   1.6 g cm⁻³
V   67.732 Å³ per atom

Record 2
Pu3Np4PaAs8 after structural relaxation. Source: Alexandria via LeMat-Bulk, functional PBE-GGA.

abc: 8.2494 8.2494 8.2494
angles: 59.70 59.70 59.70
Closest atoms and distances in Å follow each position.
Fractional positions:
1 Pu 0.0000 0.5000 0.5000  6 As 2.92
2 Pu 0.5000 0.0000 0.5000  6 As 2.92
3 Pu 0.5000 0.5000 0.0000  6 As 2.92
4 Np 0.0000 0.0000 0.5000  6 As 2.90
5 Np 0.0000 0.5000 0.0000  6 As 2.90
6 Np 0.5000 0.0000 0.0000  6 As 2.90
7 Np 0.5000 0.5000 0.5000  6 As 2.92
8 Pa 0.0000 0.0000 0.0000  6 As 2.90
9 As 0.2474 0.7509 0.7509  3 Np 2.90-2.92, 1 Pa 2.90, 2 Pu 2.92
10 As 0.2492 0.2492 0.2492  3 Np 2.90, 3 Pu 2.92
11 As 0.2491 0.2491 0.7526  3 Np 2.90-2.92, 1 Pa 2.90, 2 Pu 2.92
12 As 0.2491 0.7526 0.2491  3 Np 2.90-2.92, 1 Pa 2.90, 2 Pu 2.92
13 As 0.7509 0.2474 0.7509  3 Np 2.90-2.92, 1 Pa 2.90, 2 Pu 2.92
14 As 0.7509 0.7509 0.2474  3 Np 2.90-2.92, 1 Pa 2.90, 2 Pu 2.92
15 As 0.7508 0.7508 0.7508  3 Np 2.90, 3 Pu 2.92
16 As 0.7526 0.2491 0.2491  3 Np 2.90-2.92, 1 Pa 2.90, 2 Pu 2.92

Calculated values
DFT formation energy   -836 meV per atom
Density   10.6 g cm⁻³
V   24.644 Å³ per atom

Record 3
PmTmLu after structural relaxation. Source: Alexandria via LeMat-Bulk, functional PBE-GGA.

abc: 3.5301 3.5301 15.0360
angles: 90.00 90.00 90.00
Closest atoms and distances in Å follow each position.
Fractional positions:
1 Pm 0.0000 0.0000 0.0000  4 Pm 3.53, 4 Lu 3.56, 4 Tm 3.56
2 Pm 0.5000 0.5000 0.5000  4 Pm 3.53, 4 Lu 3.56, 4 Tm 3.56
3 Tm 0.0000 0.0000 0.6693  4 Lu 3.49, 4 Tm 3.53, 4 Pm 3.56
4 Tm 0.5000 0.5000 0.1693  4 Lu 3.49, 4 Tm 3.53, 4 Pm 3.56
5 Lu 0.0000 0.0000 0.3316  4 Tm 3.49, 4 Lu 3.53, 4 Pm 3.56
6 Lu 0.5000 0.5000 0.8316  4 Tm 3.49, 4 Lu 3.53, 4 Pm 3.56

Calculated values
Polymorph energy (0 for the lowest one)   0 meV/atom
DFT formation energy   29 meV per atom
Density   8.7 g cm⁻³
V   31.229 Å³ per atom

Record 4
NaCr2NiSn after structural relaxation. Source: Alexandria via LeMat-Bulk, functional PBE-GGA.

abc: 4.8024 4.8024 4.4414
angles: 90.00 90.00 90.00
Closest atoms and distances in Å follow each position.
Fractional positions:
1 Na 0.0000 0.0000 0.0000  2 Ni 2.22, 4 Cr 2.40
2 Cr 0.0000 0.5000 0.0000  2 Na 2.40
3 Cr 0.5000 0.0000 0.0000  2 Na 2.40
4 Ni 0.0000 0.0000 0.5000  2 Na 2.22
5 Sn 0.5000 0.5000 0.5000  8 Cr 3.27, 4 Ni 3.40

Calculated values
DFT formation energy   1485 meV per atom
Density   4.9 g cm⁻³
V   20.487 Å³ per atom

Record 5
KNiMo2 after structural relaxation. Source: Alexandria via LeMat-Bulk, functional PBE-GGA.

abc: 3.3198 3.3198 8.1047
angles: 90.00 90.00 90.00
Closest atoms and distances in Å follow each position.
Fractional positions:
1 K 0.0000 0.0000 0.0000  4 K 3.32
2 Ni 0.0000 0.0000 0.5000  8 Mo 2.59
3 Mo 0.5000 0.5000 0.3638  1 Mo 2.21
4 Mo 0.5000 0.5000 0.6362  1 Mo 2.21

Calculated values
Polymorph energy (0 for the lowest one)   232 meV/atom
DFT formation energy   899 meV per atom
Density   5.4 g cm⁻³
V   22.331 Å³ per atom

Record 6
BaMg2TlF after structural relaxation. Source: Alexandria via LeMat-Bulk, functional PBE-GGA.

abc: 5.1661 5.1661 7.1712
angles: 90.00 90.00 90.00
Closest atoms and distances in Å follow each position.
Fractional positions:
1 Ba 0.0000 0.0000 0.0000  2 Tl 3.59, 4 F 3.65
2 Mg 0.0000 0.5000 0.5000  2 Tl 2.58
3 Mg 0.5000 0.0000 0.5000  2 Tl 2.58
4 Tl 0.0000 0.0000 0.5000  4 Mg 2.58
5 F 0.5000 0.5000 0.0000  4 Ba 3.65

Calculated values
Raw formation energy   -545 meV/atom
Density   3.6 g cm⁻³
V   38.278 Å³ per atom